Compound: NaLiMnF6
Source: Alexandria
Functional: PBE+U
Structure: optimized geometry

Computed properties:
The density of states at the Fermi level comes out at 0.0 states/eV/cell. The value obtained for the volume is 12.57 Å³/atom. The value obtained for the calculated total energy is -0.3679 Ry per atom.

abc: 5.1421 5.1421 4.9392
angles: 90.00 90.00 120.00
Space group P312 (No. 149)
Inequivalent atoms, fractional coordinates:
Na 0.0000 0.0000 0.0000 (multiplicity 1)
Li 0.6667 0.3333 0.5000 (multiplicity 1)
Mn 0.3333 0.6667 0.5000 (multiplicity 1)
F 0.0294 0.3781 0.7110 (multiplicity 6)